Entry 1:
Tb2PrDy9: relaxed, PBE. Values from VASP.

space group	No. 191
energy of formation from the pure elements	0.040	eV/atom
polymorph energy (0 for the lowest one)	19	meV per atom
total DFT energy (no corrections)	-4.581	eV per atom

```
&SYSTEM
  ibrav = 0, nat = 12, ntyp = 3
/
ATOMIC_SPECIES
Tb 158.93 Tb.upf
Pr 140.91 Pr.upf
Dy 162.50 Dy.upf
ATOMIC_POSITIONS crystal
Tb 0.3333 0.6667 0.0000
Tb 0.6667 0.3333 0.0000
Pr 0.0000 0.0000 0.0000
Dy 0.0000 0.5000 0.0000
Dy 0.1778 0.3556 0.5000
Dy 0.1778 0.8222 0.5000
Dy 0.3556 0.1778 0.5000
Dy 0.5000 0.0000 0.0000
Dy 0.5000 0.5000 0.0000
Dy 0.6444 0.8222 0.5000
Dy 0.8222 0.1778 0.5000
Dy 0.8222 0.6444 0.5000
CELL_PARAMETERS angstrom
11.2535 0.0000 0.0000
-5.6267 9.7458 0.0000
0.0000 0.0000 3.5153
```

Entry 2:
SrBeAg2N: relaxed, PBE. Values from VASP.

space group	No. 123
total DFT energy (no corrections)	-3.652	eV per atom
raw formation energy	0.24	eV/atom

```
&SYSTEM
  ibrav = 0, nat = 5, ntyp = 4
/
ATOMIC_SPECIES
Sr 87.62 Sr.upf
Be 9.01 Be.upf
Ag 107.87 Ag.upf
N 14.01 N.upf
ATOMIC_POSITIONS crystal
Sr 0.0000 0.0000 0.0000
Be 0.5000 0.5000 0.0000
Ag 0.0000 0.5000 0.5000
Ag 0.5000 0.0000 0.5000
N 0.5000 0.5000 0.5000
CELL_PARAMETERS angstrom
5.4641 0.0000 0.0000
0.0000 5.4641 0.0000
0.0000 0.0000 3.2131
```

Entry 3:
TlZnTe3: relaxed, PBE. Values from VASP.

space group	No. 221
polymorph energy (0 for the lowest one)	594	meV per atom
total DFT energy (no corrections)	-1.901	eV per atom
raw formation energy	0.71	eV/atom

```
&SYSTEM
  ibrav = 0, nat = 5, ntyp = 3
/
ATOMIC_SPECIES
Tl 204.38 Tl.upf
Zn 65.41 Zn.upf
Te 127.60 Te.upf
ATOMIC_POSITIONS crystal
Tl 0.0000 0.0000 0.0000
Zn 0.5000 0.5000 0.5000
Te 0.0000 0.0000 0.5000
Te 0.0000 0.5000 0.0000
Te 0.5000 0.0000 0.0000
CELL_PARAMETERS angstrom
5.8217 0.0000 0.0000
0.0000 5.8217 0.0000
0.0000 0.0000 5.8217
```

Entry 4:
Cd12In4Bi: relaxed, PBE. Values from VASP.

space group	No. 204
energy of formation from the pure elements	0.266	eV/atom
total DFT energy (no corrections)	-1.253	eV per atom

```
&SYSTEM
  ibrav = 0, nat = 17, ntyp = 3
/
ATOMIC_SPECIES
Cd 112.41 Cd.upf
In 114.82 In.upf
Bi 208.98 Bi.upf
ATOMIC_POSITIONS crystal
Cd 0.0020 0.7894 0.2127
Cd 0.2106 0.2127 0.4233
Cd 0.2106 0.7873 0.9980
Cd 0.2127 0.0020 0.7894
Cd 0.2127 0.4233 0.2106
Cd 0.4233 0.2106 0.2127
Cd 0.5767 0.7894 0.7873
Cd 0.7873 0.5767 0.7894
Cd 0.7873 0.9980 0.2106
Cd 0.7894 0.2127 0.0020
Cd 0.7894 0.7873 0.5767
Cd 0.9980 0.2106 0.7873
In 0.0000 0.0000 0.5000
In 0.0000 0.5000 0.0000
In 0.5000 0.0000 0.0000
In 0.5000 0.5000 0.5000
Bi 0.0000 0.0000 0.0000
CELL_PARAMETERS angstrom
-5.6287 5.6287 5.6287
5.6287 -5.6287 5.6287
5.6287 5.6287 -5.6287
```

Number 1: magnetization 0.0 Bohr magnetons per cell. Number 2: magnetization 0.0 Bohr magnetons per cell. Number 3: magnetization 0.0 Bohr magnetons per cell. Number 4: magnetization 0.0 Bohr magnetons per cell.